Entry 1:
! SbTePbI2 PBE relaxed; values from VASP
&SYSTEM
  ibrav = 0, nat = 5, ntyp = 4
/
ATOMIC_SPECIES
I 126.90 I.upf
Pb 207.20 Pb.upf
Te 127.60 Te.upf
Sb 121.76 Sb.upf
CELL_PARAMETERS angstrom
-1.0129 -1.0800 -5.8606
-3.2960 -4.8511 1.4636
-5.1657 3.5801 0.2330
ATOMIC_POSITIONS crystal
I 0.5000 0.0000 0.0000
Pb 0.0000 0.0000 0.0000
Te 0.5000 0.5000 0.5000
Sb 0.0000 0.0000 0.5000
I 0.0000 0.5000 0.0000
! **Energy**: -2.358 eV per atom
! **Total moment**: 0.4 μB per formula unit
! **Excess energy over the best structure of this formula in the dataset**: 326 meV per atom
! **E_form (uncorrected)**: 0.456 eV per atom

Entry 2:
! Pu2TlBiO8 PBE relaxed; values from VASP
&SYSTEM
  ibrav = 0, nat = 12, ntyp = 4
/
ATOMIC_SPECIES
O 16.00 O.upf
Pu 244.00 Pu.upf
Tl 204.38 Tl.upf
Bi 208.98 Bi.upf
CELL_PARAMETERS angstrom
-2.8793 1.9716 -4.1698
1.4353 -4.2886 -3.0188
-3.6196 -1.5150 5.3282
ATOMIC_POSITIONS crystal
O 0.1437 0.1244 0.7505
O 0.8757 0.8560 0.2492
Pu 0.5000 0.5000 0.0000
O 0.1440 0.6265 0.7508
Pu 0.2500 0.7500 0.5000
O 0.6067 0.6261 0.7505
Tl 0.0000 0.0000 0.0000
O 0.8756 0.3933 0.2495
Bi 0.7500 0.2500 0.5000
O 0.3739 0.8563 0.2495
O 0.6068 0.1243 0.7508
O 0.3735 0.3932 0.2492
! **Energy**: -8.160 eV per atom
! **Total moment**: 6.0 μB per formula unit
! **E_form (uncorrected)**: -1.945 eV per atom

Entry 3:
! KBa2Hg PBE relaxed; values from VASP
&SYSTEM
  ibrav = 0, nat = 8, ntyp = 3
/
ATOMIC_SPECIES
Ba 137.33 Ba.upf
Hg 200.59 Hg.upf
K 39.10 K.upf
CELL_PARAMETERS angstrom
-2.7611 3.1820 0.4261
-1.6373 -2.4780 7.8959
9.9982 5.3555 3.7539
ATOMIC_POSITIONS crystal
Ba 0.5846 0.9995 0.1692
Ba 0.4154 0.0005 0.8308
Hg 0.9995 0.7500 0.9990
K 0.2422 0.2500 0.4844
Hg 0.0005 0.2500 0.0010
K 0.7578 0.7500 0.5156
Ba 0.4154 0.4995 0.8308
Ba 0.5846 0.5005 0.1692
! **Formation energy from the elements**: -0.25 eV/atom
! **Energy**: -1.558 eV per atom
! **Total moment**: 0.0 μB per formula unit

Entry 4:
! LiYGa PBE relaxed; values from VASP
&SYSTEM
  ibrav = 0, nat = 9, ntyp = 3
/
ATOMIC_SPECIES
Ga 69.72 Ga.upf
Y 88.91 Y.upf
Li 6.94 Li.upf
CELL_PARAMETERS angstrom
-2.2571 3.0683 -2.1711
-5.8556 -1.6734 3.7227
4.4664 5.0076 2.4336
ATOMIC_POSITIONS crystal
Ga 0.0000 0.3333 0.6667
Ga 0.5000 0.0000 0.0000
Y 0.5000 0.4245 0.4245
Ga 0.0000 0.6667 0.3333
Y 0.5000 0.0000 0.5755
Li 0.0000 0.7652 0.7652
Li 0.0000 0.0000 0.2348
Li 0.0000 0.2348 0.0000
Y 0.5000 0.5755 0.0000
! **Formation energy from the elements**: -0.42 eV/atom
! **Energy**: -4.226 eV per atom
! **Total moment**: 0.0 μB per formula unit
! **Excess energy over the best structure of this formula in the dataset**: 0 meV per atom

Entry 5:
! Ga2BiRh2 PBE relaxed; values from VASP
&SYSTEM
  ibrav = 0, nat = 10, ntyp = 3
/
ATOMIC_SPECIES
Bi 208.98 Bi.upf
Rh 102.91 Rh.upf
Ga 69.72 Ga.upf
CELL_PARAMETERS angstrom
-1.3493 0.5832 7.4687
-6.0793 -4.5198 -0.7453
1.7159 -2.3899 0.4966
ATOMIC_POSITIONS crystal
Bi 0.5000 0.5000 0.0000
Rh 0.6576 0.8424 0.5000
Bi 0.0000 0.0000 0.0000
Rh 0.3424 0.1576 0.5000
Ga 0.1306 0.3694 0.0000
Ga 0.3694 0.8694 0.0000
Ga 0.8694 0.6306 0.0000
Rh 0.8424 0.3424 0.5000
Rh 0.1576 0.6576 0.5000
Ga 0.6306 0.1306 0.0000
! **Formation energy from the elements**: -0.30 eV/atom
! **Energy**: -5.224 eV per atom
! **Total moment**: 0.0 μB per formula unit
! **Excess energy over the best structure of this formula in the dataset**: 66 meV per atom

Entry 6:
! Rb3Na2InBr6 PBE relaxed; values from VASP
&SYSTEM
  ibrav = 0, nat = 12, ntyp = 4
/
ATOMIC_SPECIES
Rb 85.47 Rb.upf
Br 79.90 Br.upf
In 114.82 In.upf
Na 22.99 Na.upf
CELL_PARAMETERS angstrom
-1.6250 3.7572 -2.3027
3.7255 -3.3058 -8.0230
-8.5588 -5.9040 1.1964
ATOMIC_POSITIONS crystal
Rb 0.1629 0.8348 0.3259
Br 0.0134 0.2513 0.0268
In 0.5000 0.0000 0.0000
Na 0.1716 0.3414 0.3432
Rb 0.8371 0.1652 0.6741
Br 0.3254 0.4328 0.6508
Br 0.6668 0.1114 0.3336
Br 0.6746 0.5672 0.3492
Na 0.8284 0.6586 0.6568
Rb 0.5000 0.5000 0.0000
Br 0.9866 0.7487 0.9732
Br 0.3332 0.8886 0.6664
! **Energy**: -3.003 eV per atom
! **Total moment**: 0.0 μB per formula unit
! **E_form (uncorrected)**: -1.476 eV per atom

Entry 7:
! ZnP5 PBE relaxed; values from VASP
&SYSTEM
  ibrav = 0, nat = 6, ntyp = 2
/
ATOMIC_SPECIES
P 30.97 P.upf
Zn 65.41 Zn.upf
CELL_PARAMETERS angstrom
1.2433 5.5184 0.0232
-1.2433 5.5184 0.0232
0.0000 1.6973 6.8783
ATOMIC_POSITIONS crystal
P 0.4103 0.4103 0.2063
Zn 0.2220 0.2220 0.0558
P 0.5776 0.5776 0.3540
P 0.7229 0.7229 0.5548
P 0.0338 0.0338 0.9049
P 0.8667 0.8667 0.7575
! **Formation energy from the elements**: 0.32 eV/atom
! **Energy**: -4.399 eV per atom
! **Total moment**: 0.0 μB per formula unit
! **Excess energy over the best structure of this formula in the dataset**: 0 meV per atom

Entry 8:
! La2Ge3PdRh4 PBE relaxed; values from VASP
&SYSTEM
  ibrav = 0, nat = 10, ntyp = 4
/
ATOMIC_SPECIES
Rh 102.91 Rh.upf
La 138.91 La.upf
Ge 72.64 Ge.upf
Pd 106.42 Pd.upf
CELL_PARAMETERS angstrom
4.2148 0.0000 0.0000
0.0000 4.2148 0.0000
0.0000 0.0000 10.6932
ATOMIC_POSITIONS crystal
Rh 0.5000 0.0000 0.6495
La 0.0000 0.5000 0.7414
La 0.5000 0.0000 0.2586
Ge 0.0000 0.5000 0.1224
Rh 0.5000 0.5000 0.0000
Ge 0.5000 0.0000 0.8776
Rh 0.0000 0.0000 0.0000
Rh 0.0000 0.5000 0.3505
Pd 0.5000 0.5000 0.5000
Ge 0.0000 0.0000 0.5000
! **Formation energy from the elements**: -0.82 eV/atom
! **Energy**: -6.648 eV per atom
! **Total moment**: 0.0 μB per formula unit

Entry 9:
! Sc2AgIrBr PBE relaxed; values from VASP
&SYSTEM
  ibrav = 0, nat = 5, ntyp = 4
/
ATOMIC_SPECIES
Ir 192.22 Ir.upf
Sc 44.96 Sc.upf
Br 79.90 Br.upf
Ag 107.87 Ag.upf
CELL_PARAMETERS angstrom
-4.1200 2.1819 2.3478
-1.5251 -4.3033 1.3229
2.7327 0.3934 4.4299
ATOMIC_POSITIONS crystal
Ir 0.5000 0.5000 0.5000
Sc 0.5000 0.0000 0.0000
Sc 0.0000 0.0000 0.5000
Br 0.0000 0.5000 0.0000
Ag 0.0000 0.0000 0.0000
! **Energy**: -4.252 eV per atom
! **Total moment**: 0.0 μB per formula unit
! **E_form (uncorrected)**: 0.958 eV per atom

Entry 10:
! Nb2ZnHS PBE relaxed; values from VASP
&SYSTEM
  ibrav = 0, nat = 5, ntyp = 4
/
ATOMIC_SPECIES
Nb 92.91 Nb.upf
S 32.06 S.upf
H 1.01 H.upf
Zn 65.41 Zn.upf
CELL_PARAMETERS angstrom
-2.4444 -3.2355 -2.8152
2.3728 -0.2188 -1.8088
1.7503 -3.7109 2.7450
ATOMIC_POSITIONS crystal
Nb 0.0000 0.0000 0.5000
S 0.0000 0.0000 0.0000
Nb 0.5000 0.0000 0.0000
H 0.0000 0.5000 0.0000
Zn 0.5000 0.5000 0.5000
! **Energy**: -5.545 eV per atom
! **Total moment**: 0.0 μB per formula unit